Crystalline NpAsO5F at its relaxed geometry. Source: Alexandria, functional PBE-GGA.

extended XYZ file:
```
16
Lattice="3.8534 -5.0455 0.0000 3.8534 5.0455 0.0000 -3.6071 0.0000 6.3245" Properties=species:S:1:pos:R:3 pbc="T T T"
Np 0.0000 0.0000 0.0000
Np -1.8036 0.0000 3.1623
As 1.1480 1.4295 4.7434
As 2.9516 -1.4295 1.5811
O 1.1480 4.1171 4.7434
O 1.7951 2.1098 3.3643
O -0.1030 0.2031 4.1683
O 0.5009 2.1098 6.1225
O 1.7005 -0.2031 1.0061
O 2.3991 0.2031 5.3185
O 3.5987 -2.1098 0.2020
O 4.2026 -0.2031 2.1562
O 2.3045 -2.1098 2.9602
O 2.9516 -4.1171 1.5811
F 2.9516 3.6183 1.5811
F 1.1480 -3.6183 4.7434
```

Values from the calculation:
**ΔE_f (raw)**: -1.833 eV per atom

Crystalline NpAsO6F at its relaxed geometry. Source: Alexandria, functional PBE-GGA.

extended XYZ file:
```
9
Lattice="5.1129 0.0000 0.0000 0.1347 5.6396 0.0000 0.0094 2.8053 5.5739" Properties=species:S:1:pos:R:3 pbc="T T T"
Np 0.0000 0.0000 0.0000
As 5.0808 2.3884 1.9660
O 0.8757 3.8676 1.7278
O 1.0353 6.5843 2.0064
O 1.4116 3.6392 4.8825
O 3.7316 4.8731 0.5231
O 4.1045 1.9477 0.6038
O 4.2483 2.8092 3.4114
F 1.0009 6.6837 4.8492
```

Values from the calculation:
**ΔE_f (raw)**: -1.613 eV per atom

Crystalline As2O2F at its relaxed geometry. Source: Alexandria, functional PBE-GGA.

extended XYZ file:
```
5
Lattice="-2.0779 2.0779 4.0959 2.0779 -2.0779 4.0959 2.0779 2.0779 -4.0959" Properties=species:S:1:pos:R:3 pbc="T T T"
As 2.0779 0.0000 2.0479
As 0.0000 2.0779 2.0479
O 0.0000 0.0000 1.4098
O 0.0000 0.0000 6.7819
F 0.0000 0.0000 4.0959
```

Values from the calculation:
**ΔE_f (raw)**: -0.420 eV per atom

Crystalline AsO2F2 at its relaxed geometry. Source: Alexandria, functional PBE-GGA.

extended XYZ file:
```
5
Lattice="4.0726 0.0000 0.0000 0.0000 4.0726 0.0000 0.0000 0.0000 3.7054" Properties=species:S:1:pos:R:3 pbc="T T T"
As 0.0000 0.0000 0.0000
O 0.0000 0.0000 1.8527
O 2.0363 2.0363 1.8527
F 0.0000 2.0363 0.0000
F 2.0363 0.0000 0.0000
```

Values from the calculation:
**ΔE_f (raw)**: -0.528 eV per atom
**Energy relative to the lowest polymorph listed for this composition**: 0.053 eV per atom

Crystalline AsO2F2 at its relaxed geometry. Source: Alexandria, functional PBE-GGA.

extended XYZ file:
```
5
Lattice="3.8445 0.0000 0.0000 0.0000 3.8445 0.0000 0.0000 0.0000 3.6710" Properties=species:S:1:pos:R:3 pbc="T T T"
As 0.0000 0.0000 0.0000
O 1.9223 1.9223 0.0000
O 1.9223 1.9223 1.8355
F 0.0000 1.9223 1.8355
F 1.9223 0.0000 1.8355
```

Values from the calculation:
**ΔE_f (raw)**: 0.430 eV per atom
**Energy relative to the lowest polymorph listed for this composition**: 1.012 eV per atom

Crystalline AsO2F2 at its relaxed geometry. Source: Alexandria, functional PBE-GGA.

extended XYZ file:
```
5
Lattice="3.6417 0.0000 0.0000 0.0000 3.6417 0.0000 0.0000 0.0000 3.8989" Properties=species:S:1:pos:R:3 pbc="T T T"
As 0.0000 0.0000 0.0000
O 0.0000 1.8208 0.0000
O 1.8208 0.0000 0.0000
F 0.0000 0.0000 1.9494
F 1.8208 1.8208 1.9494
```

Values from the calculation:
**ΔE_f (raw)**: -0.581 eV per atom
**Energy relative to the lowest polymorph listed for this composition**: 0.000 eV per atom